A relaxed La8AsP3Se4 crystal, computed with PBE-GGA.

Computed properties:
Energy relative to the elements, uncorrected = -1.86 eV per atom

Lattice parameters (Å, degrees): 8.590 8.656 8.590 119.75 120.00 90.00
Element x y z (fractional)
Se: 0.500 0.000 0.500
Se: 0.000 0.000 0.500
Se: 0.500 0.000 0.000
Se: 0.000 0.000 0.000
La: 0.247 0.736 0.495
La: 0.247 0.736 0.988
La: 0.744 0.733 0.489
La: 0.741 0.736 0.988
La: 0.259 0.264 0.012
La: 0.753 0.264 0.012
La: 0.753 0.264 0.505
La: 0.256 0.267 0.511
P: 0.500 0.500 0.500
P: 0.000 0.500 0.500
P: 0.500 0.500 0.000
As: 0.000 0.500 0.000

A relaxed LaAsPSe2 crystal, computed with PBE-GGA.

Computed properties:
Energy relative to the elements, uncorrected = -0.55 eV per atom
Energy above the most stable polymorph in this dataset = 0.0 meV per atom

Lattice parameters (Å, degrees): 4.983 4.983 4.755 90.00 90.00 90.00
Element x y z (fractional)
Se: 0.500 0.000 0.000
Se: 0.000 0.500 0.000
P: 0.000 0.000 0.000
As: 0.000 0.000 0.500
La: 0.500 0.500 0.500

A relaxed LaAsPSe2 crystal, computed with PBE-GGA.

Computed properties:
Energy relative to the elements, uncorrected = 0.56 eV per atom
Energy above the most stable polymorph in this dataset = 1109.2 meV per atom

Lattice parameters (Å, degrees): 5.724 5.724 6.101 90.00 90.00 90.00
Site moments in Bohr magnetons follow the coordinates.
Element x y z (fractional)
Se: 0.000 0.500 0.000  -0.16
Se: 0.500 0.000 0.000  -0.16
La: 0.000 0.000 0.000  -0.05
As: 0.000 0.000 0.500  -0.71
P: 0.500 0.500 0.500  1.03

A relaxed La8As3PSe4 crystal, computed with PBE-GGA.

Computed properties:
Energy relative to the elements, uncorrected = -1.84 eV per atom

Lattice parameters (Å, degrees): 8.663 8.688 8.663 119.90 120.00 90.00
Element x y z (fractional)
La: 0.244 0.738 0.994
La: 0.253 0.258 0.506
La: 0.747 0.742 0.494
La: 0.751 0.738 0.994
La: 0.249 0.262 0.006
La: 0.756 0.262 0.512
La: 0.244 0.738 0.488
La: 0.756 0.262 0.006
Se: 0.500 0.000 0.500
Se: 0.000 0.000 0.500
Se: 0.000 0.000 0.000
Se: 0.500 0.000 0.000
As: 0.000 0.500 0.500
As: 0.500 0.500 0.500
As: 0.500 0.500 0.000
P: 0.000 0.500 0.000

A relaxed La8As4PSe3 crystal, computed with PBE-GGA.

Computed properties:
Energy relative to the elements, uncorrected = -1.79 eV per atom

Lattice parameters (Å, degrees): 8.691 8.681 8.691 120.04 120.00 90.00
Element x y z (fractional)
La: 0.247 0.752 0.005
La: 0.757 0.752 0.005
La: 0.753 0.758 0.506
La: 0.243 0.248 0.995
La: 0.753 0.248 0.995
La: 0.248 0.752 0.495
La: 0.247 0.242 0.494
La: 0.752 0.248 0.505
Se: 0.500 0.500 0.000
Se: 0.500 0.500 0.500
Se: 0.000 0.500 0.500
P: 0.000 0.500 0.000
As: 0.500 0.000 0.500
As: 0.000 0.000 0.500
As: 0.000 0.000 0.000
As: 0.500 0.000 0.000

A relaxed LaSmAsP crystal, computed with PBE-GGA.

Computed properties:
Formation energy from the elements = -6.13 eV/f.u.

Lattice parameters (Å, degrees): 4.256 4.256 5.988 90.00 90.00 90.00
Element x y z (fractional)
P: 0.000 0.891 0.092
La: 0.000 0.892 0.592
Sm: 0.500 0.391 0.092
As: 0.500 0.392 0.593